(1)
This record from the Alexandria database describes a geometry-optimized ZrWBr structure. The functional is GGA-PBEsol.

uncorrected formation energy: 0.395 eV/atom
raw total energy: -7.86 eV/atom
excess energy over the best structure of this formula in the dataset: 0.00 eV per formula unit
volume: 19.78 Å³/atom

Cell: 3.0552 3.0552 7.3409 Å, 90.00 90.00 120.00°
Last column: nearest neighbours and their distance in Å.
Fractional positions:
Zr 0.0000 0.0000 0.0000  3 Br 2.69, 3 W 3.01
W 0.6667 0.3333 0.3315  3 Zr 3.01, 6 W 3.06
Br 0.3333 0.6667 0.7235  3 Zr 2.69

(2)
This record from the Alexandria database describes a geometry-optimized Li2InFeP4O14 structure. The functional is GGA-PBEsol.

uncorrected formation energy: -2.075 eV/atom
raw total energy: -7.19 eV/atom
volume: 11.69 Å³/atom

Cell: 4.7999 6.9544 8.1424 Å, 90.99 90.19 108.88°
Last column: nearest neighbours and their distance in Å.
Fractional positions:
Li 0.0000 0.0000 0.0000  4 O 1.96-2.07
Li 0.3599 0.3519 0.5154  4 O 1.94-2.02
In 0.4000 0.4258 0.1442  6 O 2.10-2.19
Fe 0.9672 0.9628 0.6429  6 O 1.87-1.93
P 0.3816 0.7744 0.4464  4 O 1.53-1.62
P 0.5798 0.1982 0.8184  4 O 1.53-1.61
P 0.7777 0.1533 0.3300  4 O 1.53-1.60
P 0.9666 0.6063 0.9088  4 O 1.52-1.62
O 0.0489 0.8047 0.8167  1 P 1.52
O 0.0995 0.8246 0.4780  1 P 1.53
O 0.2308 0.5383 0.9426  1 P 1.52
O 0.3032 0.5635 0.3641  1 P 1.53
O 0.3623 0.1479 0.6738  1 P 1.53
O 0.4314 0.1773 0.9857  1 P 1.53
O 0.5624 0.9241 0.3051  2 P 1.60-1.62
O 0.5783 0.7902 0.5969  1 P 1.53
O 0.5925 0.2949 0.3351  1 P 1.53
O 0.7472 0.4366 0.7882  2 P 1.61-1.62
O 0.8077 0.6294 0.0677  1 P 1.54
O 0.8105 0.0890 0.8163  1 P 1.53
O 0.9406 0.1671 0.4945  1 P 1.53
O 0.9808 0.1854 0.1819  1 P 1.53

(3)
This record from the Alexandria database describes a geometry-optimized Tl3TcB structure. The functional is GGA-PBEsol.

formation enthalpy at 0 K: 134.8 kJ/mol of atoms
raw total energy: -3.84 eV/atom
volume: 21.69 Å³/atom

Cell: 4.7691 4.7691 4.7691 Å, 90.00 90.00 90.00°
Last column: nearest neighbours and their distance in Å.
Fractional positions:
Tl 0.0000 0.0000 0.5000  2 B 2.38
Tl 0.0000 0.5000 0.0000  2 B 2.38
Tl 0.5000 0.0000 0.0000  2 B 2.38
Tc 0.5000 0.5000 0.5000  12 Tl 3.37
B 0.0000 0.0000 0.0000  6 Tl 2.38

(4)
This record from the Alexandria database describes a geometry-optimized AlCdSe2 structure. The functional is GGA-PBEsol.

uncorrected formation energy: -0.425 eV/atom
raw total energy: -3.67 eV/atom
excess energy over the best structure of this formula in the dataset: 0.00 eV per formula unit
volume: 23.80 Å³/atom

Cell: 6.3229 6.3229 6.3229 Å, 114.60 114.60 99.64°
Last column: nearest neighbours and their distance in Å.
Fractional positions:
Al 0.0000 0.0000 0.0000  4 Se 2.42
Al 0.7500 0.2500 0.5000  4 Se 2.42
Cd 0.2500 0.7500 0.5000  4 Se 2.84
Cd 0.5000 0.5000 0.0000  4 Se 2.84
Se 0.0777 0.1250 0.4527  2 Al 2.42
Se 0.3750 0.9223 0.0473  2 Al 2.42
Se 0.6723 0.6250 0.5473  2 Al 2.42
Se 0.8750 0.3277 0.9527  2 Al 2.42

(5)
This record from the Alexandria database describes a geometry-optimized BeAl2Cd structure. The functional is GGA-PBEsol.

formation enthalpy at 0 K: 40.1 kJ/mol of atoms
raw total energy: -2.93 eV/atom
excess energy over the best structure of this formula in the dataset: 0.61 eV per formula unit
volume: 16.28 Å³/atom

Cell: 4.5162 4.5162 4.5162 Å, 60.00 60.00 60.00°
Last column: nearest neighbours and their distance in Å.
Fractional positions:
Be 0.0000 0.0000 0.0000  4 Cd 2.77, 4 Al 2.77
Al 0.5000 0.5000 0.5000  4 Cd 2.77, 4 Al 2.77
Al 0.7500 0.7500 0.7500  4 Be 2.77, 4 Al 2.77
Cd 0.2500 0.2500 0.2500  4 Be 2.77, 4 Al 2.77

(6)
This record from the Alexandria database describes a geometry-optimized BeCl3 structure. The functional is GGA-PBEsol.

uncorrected formation energy: -0.139 eV/atom
raw total energy: -2.64 eV/atom
excess energy over the best structure of this formula in the dataset: 1.95 eV per formula unit
volume: 19.52 Å³/atom

Cell: 2.8937 2.8937 9.3268 Å, 90.00 90.00 90.00°
Last column: nearest neighbours and their distance in Å.
Fractional positions:
Be 0.0000 0.0000 0.0000  8 Cl 2.49
Cl 0.0000 0.0000 0.5000  4 Cl 2.89
Cl 0.5000 0.5000 0.1515  4 Be 2.49
Cl 0.5000 0.5000 0.8485  4 Be 2.49